SmDy2Th, optimized geometry, DFT GGA-PBE; energy relative to the lowest polymorph listed for this composition = 0.000 eV per formula unit; ΔH_f (0 K) = 11 meV per atom; volume = 129.03 Å³/f.u.
1.0
1.7981 1.0381 11.5210
-1.7981 1.0381 11.5210
0.0000 -2.0763 11.5210
Sm Dy Th
1 2 1
Direct
0.0000 0.0000 0.0000
0.2486 0.2486 0.2486
0.4192 0.4192 0.4192
0.8341 0.8341 0.8341